(1)
## TlTe3PtAu (GGA-PBE)

Data for a relaxed TlTe3PtAu crystal.

Polymorph energy (0 for the lowest one)   32.0 meV/atom
Crystal system   monoclinic

a = 8.3387 Å, b = 4.1045 Å, c = 10.6358 Å
α = 90.00°, β = 104.80°, γ = 90.00°
Fractional coordinates of all 12 atoms:
1 Au 0.5118 0.7500 0.4044
2 Au 0.4882 0.2500 0.5956
3 Pt 0.1595 0.2500 0.1408
4 Pt 0.8405 0.7500 0.8592
5 Te 0.9405 0.7500 0.1214
6 Te 0.3750 0.7500 0.1476
7 Te 0.2003 0.2500 0.4051
8 Te 0.7998 0.7500 0.5949
9 Te 0.6250 0.2500 0.8524
10 Te 0.0595 0.2500 0.8786
11 Tl 0.7774 0.2500 0.3462
12 Tl 0.2226 0.7500 0.6538


(2)
## TlTe3PtAu (GGA-PBE)

Data for a relaxed TlTe3PtAu crystal.

Polymorph energy (0 for the lowest one)   33.2 meV/atom
Crystal system   orthorhombic

a = 3.9782 Å, b = 7.4349 Å, c = 11.6546 Å
α = 90.00°, β = 90.00°, γ = 74.48°
Fractional coordinates of all 12 atoms:
1 Au 0.6315 0.7371 0.2500
2 Au 0.3685 0.2629 0.7500
3 Pt 0.0000 0.0000 0.0000
4 Pt 0.0000 0.0000 0.5000
5 Te 0.6247 0.7507 0.0159
6 Te 0.9813 0.0373 0.2500
7 Te 0.6247 0.7507 0.4841
8 Te 0.3754 0.2493 0.5159
9 Te 0.0187 0.9627 0.7500
10 Te 0.3754 0.2493 0.9841
11 Tl 0.2860 0.4280 0.2500
12 Tl 0.7140 0.5720 0.7500


(3)
## TlTe3PtAu (GGA-PBE)

Data for a relaxed TlTe3PtAu crystal.

Polymorph energy (0 for the lowest one)   39.1 meV/atom
Crystal system   orthorhombic

a = 11.7763 Å, b = 4.1025 Å, c = 13.1925 Å
α = 90.00°, β = 90.00°, γ = 90.00°
Fractional coordinates of all 24 atoms:
1 Au 0.2489 0.7500 0.1092
2 Au 0.7489 0.7500 0.3908
3 Au 0.2511 0.2500 0.6092
4 Au 0.7511 0.2500 0.8908
5 Pt 0.4990 0.2500 0.2497
6 Pt 0.9990 0.2500 0.2503
7 Pt 0.0010 0.7500 0.7497
8 Pt 0.5010 0.7500 0.7503
9 Te 0.4813 0.7500 0.1179
10 Te 0.0166 0.7500 0.1185
11 Te 0.7488 0.2500 0.2385
12 Te 0.2488 0.2500 0.2615
13 Te 0.5166 0.7500 0.3815
14 Te 0.9813 0.7500 0.3821
15 Te 0.0187 0.2500 0.6179
16 Te 0.4834 0.2500 0.6185
17 Te 0.7512 0.7500 0.7385
18 Te 0.2512 0.7500 0.7615
19 Te 0.9834 0.2500 0.8815
20 Te 0.5187 0.2500 0.8821
21 Tl 0.7493 0.7500 0.0486
22 Tl 0.2493 0.7500 0.4514
23 Tl 0.7507 0.2500 0.5486
24 Tl 0.2507 0.2500 0.9514


(4)
## TlTe3PtAu (GGA-PBE)

Data for a relaxed TlTe3PtAu crystal.

Polymorph energy (0 for the lowest one)   47.4 meV/atom
Crystal system   monoclinic

a = 9.1016 Å, b = 9.1016 Å, c = 9.6406 Å
α = 104.07°, β = 104.07°, γ = 25.78°
Fractional coordinates of all 12 atoms:
1 Au 0.5000 0.5000 0.2128
2 Au 0.5000 0.5000 0.7872
3 Pt 0.1700 0.1700 0.0833
4 Pt 0.8300 0.8300 0.9167
5 Te 0.0000 0.0000 0.0000
6 Te 0.3343 0.3343 0.1016
7 Te 0.6618 0.6618 0.2622
8 Te 0.5000 0.5000 0.5000
9 Te 0.3382 0.3382 0.7378
10 Te 0.6657 0.6657 0.8984
11 Tl 0.8555 0.8555 0.4398
12 Tl 0.1445 0.1445 0.5602